Record 1
Compound: Nd6Ho2Er5
Source: Alexandria via LeMat-Bulk
Functional: GGA-PBE
Structure: optimized geometry

```
Nd6Ho2Er5
1.0
11.680 0.000 0.000
0.000 20.525 0.000
0.000 0.000 3.616
Nd Ho Er
12 4 10
direct
0.060 0.080 0.000 Nd
0.084 0.367 0.000 Nd
0.172 0.634 0.500 Nd
0.328 0.134 0.500 Nd
0.416 0.867 0.000 Nd
0.440 0.580 0.000 Nd
0.560 0.420 0.000 Nd
0.584 0.133 0.000 Nd
0.672 0.866 0.500 Nd
0.828 0.366 0.500 Nd
0.916 0.633 0.000 Nd
0.940 0.920 0.000 Nd
0.165 0.790 0.000 Ho
0.335 0.290 0.000 Ho
0.665 0.710 0.000 Ho
0.835 0.210 0.000 Ho
0.000 0.500 0.500 Er
0.094 0.226 0.500 Er
0.198 0.944 0.500 Er
0.302 0.444 0.500 Er
0.406 0.726 0.500 Er
0.500 0.000 0.500 Er
0.594 0.274 0.500 Er
0.698 0.556 0.500 Er
0.802 0.056 0.500 Er
0.906 0.774 0.500 Er
```

ΔH_f (0 K) = 10.06 kJ/mol of atoms
Magnetic moment = 0.00 μB/f.u.
DOS(E_F) = 1.1908 states/eV/atom
Electronic total energy = -118.44 eV for the cell shown

***

Record 2
Compound: NdHo4Er7
Source: Alexandria via LeMat-Bulk
Functional: GGA-PBE
Structure: optimized geometry

```
NdHo4Er7
1.0
6.159 0.000 0.000
0.012 7.115 0.000
2.072 0.002 8.506
Nd Ho Er
1 4 7
direct
0.000 0.000 0.000 Nd
0.221 0.500 0.334 Ho
0.279 0.251 0.665 Ho
0.721 0.749 0.335 Ho
0.779 0.500 0.666 Ho
0.000 0.500 0.000 Er
0.222 0.000 0.335 Er
0.279 0.749 0.665 Er
0.500 0.250 0.000 Er
0.500 0.750 0.000 Er
0.721 0.251 0.335 Er
0.778 0.000 0.665 Er
```

ΔH_f (0 K) = -0.07 kJ/mol of atoms
Energy relative to the lowest polymorph listed for this composition = 0.000 eV/atom
Magnetic moment = 0.00 μB/f.u.
DOS(E_F) = 1.3628 states/eV/atom
Electronic total energy = -55.03 eV for the cell shown